#A
The following is a DFT calculation (PBE) of a geometry-optimized MnSn2SbPt structure.

a b c (Å): 3.0855 5.6157 6.5658
angles (deg): 81.91 76.42 89.96
Closest atoms and distances in Å follow each position.
Sites, in units of the cell vectors:
Mn  0.6562  0.9736  0.3528  2 Pt 2.74, 2 Sb 2.89, 4 Sn 2.90-3.01
Sn  0.0978  0.3959  0.4682  1 Pt 2.80, 2 Mn 3.01, 3 Sn 3.03-3.09, 1 Sb 3.11
Sn  0.9673  0.8038  0.7307  2 Pt 2.79, 2 Mn 2.90-2.91, 3 Sn 3.03-3.09
Sb  0.3251  0.2463  0.0174  2 Pt 2.85-2.86, 2 Mn 2.89, 2 Sb 3.09, 1 Sn 3.11
Pt  0.2836  0.7319  0.0990  2 Mn 2.74, 3 Sn 2.79-2.80, 2 Sb 2.85-2.86

Summary:
total moment: 3.70 μB per formula unit
crystal system: monoclinic
density of states at the Fermi level: 0.57 states/eV per atom



#B
The following is a DFT calculation (PBE) of a geometry-optimized MnSn2SbPt structure.

a b c (Å): 5.2750 4.3655 5.3450
angles (deg): 90.00 113.73 90.00
Closest atoms and distances in Å follow each position.
Sites, in units of the cell vectors:
Mn  0.2697  0.0000  0.8996  2 Sb 2.64, 2 Pt 2.67, 4 Sn 2.75
Sn  0.4816  0.5000  0.2301  2 Mn 2.75, 2 Pt 2.77, 1 Sn 2.84
Sn  0.0577  0.5000  0.5692  2 Mn 2.75, 2 Pt 2.77, 1 Sn 2.84
Sb  0.7698  0.0000  0.8996  2 Mn 2.64, 2 Pt 2.90
Pt  0.2697  0.0000  0.3996  2 Mn 2.67, 4 Sn 2.77, 2 Sb 2.90

Summary:
total moment: 2.74 μB per formula unit
crystal system: monoclinic
density of states at the Fermi level: 0.57 states/eV per atom



#C
The following is a DFT calculation (PBE) of a geometry-optimized MnSn2SbPt structure.

a b c (Å): 4.0562 4.4505 6.2795
angles (deg): 90.00 90.03 90.00
Closest atoms and distances in Å follow each position.
Sites, in units of the cell vectors:
Mn  0.0671  0.5000  0.0048  2 Pt 2.58, 2 Sb 2.70, 4 Sn 2.83-2.84
Sn  0.0615  0.0000  0.2850  2 Mn 2.84, 1 Sb 2.98, 4 Pt 3.00-3.03
Sn  0.5685  0.5000  0.6903  1 Pt 2.71, 2 Mn 2.83-2.84, 2 Sb 3.04
Sb  0.0697  0.0000  0.7600  2 Mn 2.70, 1 Sn 2.98
Pt  0.5668  0.5000  0.2581  2 Mn 2.58, 1 Sn 2.71

Summary:
total moment: 3.26 μB per formula unit
crystal system: monoclinic
density of states at the Fermi level: 0.66 states/eV per atom



Which structure is the least stable? The one labeled #C.



#A
The following is a DFT calculation (PBE) of a geometry-optimized MnSb2TePt structure.

a b c (Å): 4.8827 4.8827 4.9908
angles (deg): 90.00 90.00 90.00
Closest atoms and distances in Å follow each position.
Sites, in units of the cell vectors:
Sb  0.0000  0.5000  0.0000  2 Mn 2.44
Sb  0.5000  0.0000  0.0000  2 Mn 2.44
Te  0.0000  0.0000  0.5000  2 Mn 2.50
Pt  0.5000  0.5000  0.5000  4 Te 3.45, 8 Sb 3.49
Mn  0.0000  0.0000  0.0000  4 Sb 2.44, 2 Te 2.50

Summary:
total moment: 1.68 μB per formula unit
crystal system: tetragonal
density of states at the Fermi level: 0.64 states/eV per atom



#B
The following is a DFT calculation (PBE) of a geometry-optimized MnSb2TePt structure.

a b c (Å): 5.1945 5.1945 5.5305
angles (deg): 90.00 90.00 90.00
Closest atoms and distances in Å follow each position.
Sites, in units of the cell vectors:
Sb  0.0000  0.5000  0.0000  2 Pt 2.60
Sb  0.5000  0.0000  0.0000  2 Pt 2.60
Te  0.0000  0.0000  0.5000  2 Pt 2.77
Pt  0.0000  0.0000  0.0000  4 Sb 2.60, 2 Te 2.77
Mn  0.5000  0.5000  0.5000  4 Te 3.67, 8 Sb 3.79

Summary:
total moment: 4.01 μB per formula unit
crystal system: tetragonal
density of states at the Fermi level: 0.68 states/eV per atom



Which structure is the least stable? The one labeled #B.



#A
The following is a DFT calculation (PBE) of a geometry-optimized ScMn3Pt structure.

a b c (Å): 4.2120 4.2120 4.2120
angles (deg): 90.00 90.00 90.00
Closest atoms and distances in Å follow each position.
Sites, in units of the cell vectors:
Sc  0.0000  0.0000  0.0000  6 Mn 2.11
Mn  0.0000  0.5000  0.0000  2 Sc 2.11
Mn  0.0000  0.0000  0.5000  2 Sc 2.11
Mn  0.5000  0.0000  0.0000  2 Sc 2.11
Pt  0.5000  0.5000  0.5000  12 Mn 2.98

Summary:
total moment: 0.00 μB per formula unit
crystal system: cubic
density of states at the Fermi level: 1.40 states/eV per atom



#B
The following is a DFT calculation (PBE) of a geometry-optimized ScMn3Pt structure.

a b c (Å): 4.8302 4.8302 4.8302
angles (deg): 90.00 90.00 90.00
Closest atoms and distances in Å follow each position.
Sites, in units of the cell vectors:
Sc  0.5000  0.5000  0.5000  12 Mn 3.42
Mn  0.0000  0.5000  0.0000  2 Pt 2.42
Mn  0.0000  0.0000  0.5000  2 Pt 2.42
Mn  0.5000  0.0000  0.0000  2 Pt 2.42
Pt  0.0000  0.0000  0.0000  6 Mn 2.42

Summary:
total moment: 11.97 μB per formula unit
crystal system: cubic
density of states at the Fermi level: 1.13 states/eV per atom



Which structure is the least stable? The one labeled #A.